1:
A plane-wave DFT calculation with GGA-PBE was carried out for a geometry-optimized BaAg2Cl structure.

abc: 6.113 6.113 6.113
angles: 48.73 48.73 48.73
Element x y z (fractional)
1 Cl 0.750 0.750 0.750
2 Ag 0.465 0.465 0.465
3 Ba 0.250 0.250 0.250
4 Ag 0.035 0.035 0.035

- Total magnetization: 0.0 μB/cell


2:
A plane-wave DFT calculation with GGA-PBE was carried out for a geometry-optimized BaAg2Cl structure.

abc: 4.230 4.336 7.529
angles: 55.31 90.00 90.00
Element x y z (fractional)
1 Cl 0.000 0.000 0.500
2 Ba 0.500 0.500 0.500
3 Ag 0.500 0.500 0.000
4 Ag 0.000 0.000 0.000

- Total magnetization: 0.0 μB/cell


3:
A plane-wave DFT calculation with GGA-PBE was carried out for a geometry-optimized BaAg2Cl structure.

abc: 9.520 9.520 7.325
angles: 49.47 49.47 90.00
Element x y z (fractional)
1 Cl 0.250 0.750 0.500
2 Ag 0.375 0.393 0.750
3 Ag 0.143 0.625 0.250
4 Ag 0.875 0.857 0.750
5 Cl 0.500 0.500 0.000
6 Ag 0.607 0.125 0.250
7 Ba 0.750 0.250 0.500
8 Ba 0.000 0.000 0.000

- Total magnetization: 0.0 μB/cell


4:
A plane-wave DFT calculation with GGA-PBE was carried out for a geometry-optimized BaAg2Cl structure.

abc: 4.837 4.837 5.752
angles: 90.00 90.00 90.03
Element x y z (fractional)
1 Ag 0.000 0.000 0.499
2 Ag 0.000 0.000 0.001
3 Cl 0.500 0.500 0.750
4 Ba 0.500 0.500 0.250

- Total magnetization: 0.0 μB/cell


Most stable one: 2, least stable one: 1.


1:
A plane-wave DFT calculation with GGA-PBE was carried out for a geometry-optimized BaAg2Cl structure.

abc: 4.796 4.796 7.299
angles: 71.72 71.72 60.12
Element x y z (fractional)
1 Cl 0.227 0.227 0.305
2 Ba 0.496 0.496 0.509
3 Ag 0.054 0.054 0.849
4 Ag 0.724 0.724 0.838

- Total magnetization: 0.0 μB/cell


2:
A plane-wave DFT calculation with GGA-PBE was carried out for a geometry-optimized BaAg2Cl structure.

abc: 5.500 5.500 5.500
angles: 60.00 60.00 60.00
Element x y z (fractional)
1 Ag 0.250 0.250 0.250
2 Ag 0.750 0.750 0.750
3 Ba 0.500 0.500 0.500
4 Cl 0.000 0.000 0.000

- Total magnetization: 0.0 μB/cell


Most stable one: 1, least stable one: 2.


1:
A plane-wave DFT calculation with GGA-PBE was carried out for a geometry-optimized BaAgCl4 structure.

abc: 6.413 6.413 6.412
angles: 110.87 110.87 106.72
Each line ends with the local moment (μB).
Element x y z (fractional)
1 Cl 0.741 0.740 0.479  0.06
2 Ag 0.500 0.500 0.000  0.15
3 Ba 0.750 0.250 0.500  0.00
4 Cl 0.261 0.262 0.521  0.06
5 Cl 0.260 0.739 0.001  0.06
6 Cl 0.738 0.259 0.999  0.06

- Total magnetization: 0.4 μB/cell


2:
A plane-wave DFT calculation with GGA-PBE was carried out for a geometry-optimized BaAgCl4 structure.

abc: 6.128 6.128 6.128
angles: 60.00 60.00 60.00
Each line ends with the local moment (μB).
Element x y z (fractional)
1 Cl 0.376 0.376 0.376  0.25
2 Ba 0.000 0.000 0.000  0.00
3 Cl 0.873 0.376 0.376  0.25
4 Ag 0.750 0.750 0.750  0.00
5 Cl 0.376 0.873 0.376  0.25
6 Cl 0.376 0.376 0.873  0.25

- Total magnetization: 1.2 μB/cell


Most stable one: 1, least stable one: 2.


1:
A plane-wave DFT calculation with GGA-PBE was carried out for a geometry-optimized Ba2AgCl6 structure.

abc: 6.611 8.553 9.600
angles: 90.00 89.08 90.00
Each line ends with the local moment (μB).
Element x y z (fractional)
1 Cl 0.402 0.523 0.249  0.14
2 Ag 0.500 0.500 0.000  0.36
3 Cl 0.664 0.178 0.058  0.01
4 Cl 0.823 0.649 0.047  0.13
5 Cl 0.336 0.822 0.942  0.01
6 Ba 0.448 0.119 0.764  0.00
7 Cl 0.677 0.149 0.453  0.13
8 Cl 0.598 0.477 0.751  0.14
9 Cl 0.836 0.678 0.442  0.01
10 Cl 0.902 0.977 0.749  0.14
11 Ba 0.552 0.881 0.236  0.00
12 Cl 0.323 0.851 0.547  0.13
13 Ba 0.052 0.619 0.736  0.00
14 Ag 0.000 0.000 0.500  0.36
15 Cl 0.164 0.322 0.558  0.01
16 Cl 0.098 0.023 0.251  0.14
17 Cl 0.177 0.351 0.953  0.13
18 Ba 0.948 0.381 0.264  0.00

- Total magnetization: 2.1 μB/cell


2:
A plane-wave DFT calculation with GGA-PBE was carried out for a geometry-optimized Ba2AgCl6 structure.

abc: 6.965 6.965 13.277
angles: 90.00 90.00 90.00
Each line ends with the local moment (μB).
Element x y z (fractional)
1 Ba 0.000 0.000 0.334  0.01
2 Ba 0.500 0.500 0.166  0.01
3 Ag 0.000 0.000 0.000  0.39
4 Cl 0.179 0.821 0.140  0.12
5 Cl 0.321 0.321 0.360  0.12
6 Cl 0.821 0.179 0.860  0.12
7 Ba 0.000 0.000 0.666  0.01
8 Cl 0.206 0.794 0.500  0.01
9 Cl 0.179 0.821 0.860  0.12
10 Cl 0.294 0.294 0.000  0.01
11 Cl 0.706 0.706 0.000  0.01
12 Cl 0.679 0.679 0.640  0.12
13 Cl 0.679 0.679 0.360  0.12
14 Cl 0.321 0.321 0.640  0.12
15 Ag 0.500 0.500 0.500  0.39
16 Cl 0.794 0.206 0.500  0.01
17 Ba 0.500 0.500 0.834  0.01
18 Cl 0.821 0.179 0.140  0.12

- Total magnetization: 2.2 μB/cell


Most stable one: 1, least stable one: 2.


1:
A plane-wave DFT calculation with GGA-PBE was carried out for a geometry-optimized BaAg6Cl12 structure.

abc: 8.879 8.879 8.879
angles: 111.12 111.12 111.12
Element x y z (fractional)
1 Cl 0.402 0.163 0.557
2 Cl 0.912 0.673 0.090
3 Cl 0.837 0.443 0.598
4 Ag 0.264 0.255 0.749
5 Ag 0.255 0.749 0.264
6 Cl 0.598 0.837 0.443
7 Ag 0.745 0.251 0.736
8 Cl 0.327 0.910 0.088
9 Cl 0.443 0.598 0.837
10 Ag 0.251 0.736 0.745
11 Cl 0.088 0.327 0.910
12 Cl 0.090 0.912 0.673
13 Ag 0.749 0.264 0.255
14 Ag 0.736 0.745 0.251
15 Ba 0.000 0.000 0.000
16 Cl 0.557 0.402 0.163
17 Cl 0.910 0.088 0.327
18 Cl 0.673 0.090 0.912
19 Cl 0.163 0.557 0.402

- Total magnetization: 0.0 μB/cell


2:
A plane-wave DFT calculation with GGA-PBE was carried out for a geometry-optimized BaAg6Cl12 structure.

abc: 8.566 8.566 8.566
angles: 109.47 109.47 109.47
Element x y z (fractional)
1 Cl 0.676 0.517 0.842
2 Ag 0.345 0.500 0.845
3 Ag 0.500 0.845 0.345
4 Cl 0.842 0.676 0.517
5 Cl 0.676 0.834 0.158
6 Ag 0.500 0.155 0.655
7 Cl 0.166 0.842 0.324
8 Cl 0.324 0.166 0.842
9 Ba 0.000 0.000 0.000
10 Ag 0.155 0.655 0.500
11 Cl 0.834 0.158 0.676
12 Cl 0.517 0.842 0.676
13 Cl 0.483 0.158 0.324
14 Cl 0.158 0.676 0.834
15 Cl 0.842 0.324 0.166
16 Cl 0.158 0.324 0.483
17 Cl 0.324 0.483 0.158
18 Ag 0.845 0.345 0.500
19 Ag 0.655 0.500 0.155

- Total magnetization: 0.0 μB/cell


Most stable one: 1, least stable one: 2.


1:
A plane-wave DFT calculation with GGA-PBE was carried out for a geometry-optimized Cs2BaAgCl6 structure.

abc: 5.835 5.835 10.935
angles: 90.00 90.00 90.00
Element x y z (fractional)
1 Cl 0.500 0.000 0.000
2 Ag 0.500 0.500 0.500
3 Cl 0.000 0.500 0.500
4 Cl 0.500 0.500 0.719
5 Cl 0.000 0.500 0.000
6 Cs 0.000 0.000 0.713
7 Cl 0.500 0.000 0.500
8 Ba 0.500 0.500 0.000
9 Cs 0.000 0.000 0.287
10 Cl 0.500 0.500 0.281

- Total magnetization: 0.0 μB/cell


2:
A plane-wave DFT calculation with GGA-PBE was carried out for a geometry-optimized Cs2BaAgCl6 structure.

abc: 8.042 8.042 7.921
angles: 59.49 59.49 90.00
Each line ends with the local moment (μB).
Element x y z (fractional)
1 Cl 0.263 0.737 0.000  0.06
2 Cl 0.273 0.273 0.455  0.09
3 Cs 0.250 0.750 0.500  0.00
4 Ag 0.500 0.500 0.000  0.30
5 Ba 0.000 0.000 0.000  0.02
6 Cl 0.727 0.727 0.545  0.09
7 Cl 0.737 0.263 0.000  0.06
8 Cl 0.737 0.737 0.000  0.06
9 Cs 0.750 0.250 0.500  0.00
10 Cl 0.263 0.263 0.000  0.06

- Total magnetization: 0.8 μB/cell


Most stable one: 1, least stable one: 2.